No. 1
The following is a PBE-GGA calculation of a geometry-optimized PmPrSm2Dy5 structure, from Alexandria via LeMat-Bulk.

POSCAR file:
```
PmPrSm2Dy5
1.0
-4.3863 4.3863 7.7315
4.3863 -4.3863 7.7315
4.3863 4.3863 -7.7315
Pm Pr Sm Dy
2 2 4 10
Direct
0.2500 0.7500 0.5000
0.7500 0.2500 0.5000
0.2500 0.2500 0.0000
0.7500 0.7500 0.0000
0.1167 0.6167 0.7334
0.3833 0.1167 0.5000
0.6167 0.8833 0.5000
0.8833 0.3833 0.2666
0.0000 0.0000 0.0000
0.0715 0.1574 0.5000
0.1574 0.6574 0.0859
0.3426 0.4285 0.5000
0.4285 0.9285 0.0859
0.5000 0.5000 0.0000
0.5715 0.0715 0.9141
0.6574 0.5715 0.5000
0.8426 0.3426 0.9141
0.9285 0.8426 0.5000
```

Computed properties:
**Space-group type**: I4/mcm, No. 140
**Calculated formation energy**: 258 meV/atom
**Fermi-level density of states**: 1.098 states/eV/atom
**Raw total energy**: -0.324 Ry per atom

***

No. 2
The following is a PBE-GGA calculation of a geometry-optimized PmPr4Sm2Dy structure, from Alexandria via LeMat-Bulk.

POSCAR file:
```
PmPr4Sm2Dy
1.0
5.1824 0.0000 0.0000
0.0000 5.2063 0.0000
-0.0161 0.0000 10.3044
Pm Pr Sm Dy
1 4 2 1
Direct
0.0000 0.0000 0.0000
0.0003 0.5000 0.2519
0.9997 0.5000 0.7481
0.5002 0.0000 0.2516
0.4998 0.0000 0.7484
0.0000 0.0000 0.5000
0.5000 0.5000 0.0000
0.5000 0.5000 0.5000
```

Computed properties:
**Space-group type**: P2/m, No. 10
**Calculated formation energy**: 13 meV/atom
**Fermi-level density of states**: 1.413 states/eV/atom
**Raw total energy**: -0.347 Ry per atom

***

No. 3
The following is a PBE-GGA calculation of a geometry-optimized Pm2PrSm2Dy4 structure, from Alexandria via LeMat-Bulk.

POSCAR file:
```
Pm2PrSm2Dy4
1.0
9.4321 -1.8190 0.0000
9.4321 1.8190 0.0000
-4.1923 0.0000 8.7023
Pm Pr Sm Dy
2 1 2 4
Direct
0.1670 0.1670 0.0019
0.8330 0.8330 0.9981
0.5000 0.5000 0.0000
0.3525 0.3525 0.3357
0.6475 0.6475 0.6643
0.0196 0.0196 0.3352
0.3144 0.3144 0.6636
0.6856 0.6856 0.3364
0.9804 0.9804 0.6648
```

Computed properties:
**Space-group type**: C2/m, No. 12
**Calculated formation energy**: 0 meV/atom
**Fermi-level density of states**: 1.330 states/eV/atom
**Raw total energy**: -0.344 Ry per atom

***

No. 4
The following is a PBE-GGA calculation of a geometry-optimized Pm2Pr5SmDy structure, from Alexandria via LeMat-Bulk.

POSCAR file:
```
Pm2Pr5SmDy
1.0
-4.4296 4.4296 8.1325
4.4296 -4.4296 8.1325
4.4296 4.4296 -8.1325
Pm Pr Sm Dy
4 10 2 2
Direct
0.1181 0.6181 0.7361
0.3819 0.1181 0.5000
0.6181 0.8819 0.5000
0.8819 0.3819 0.2639
0.0000 0.0000 0.0000
0.0703 0.1488 0.5000
0.1488 0.6488 0.0785
0.3512 0.4297 0.5000
0.4297 0.9297 0.0785
0.5000 0.5000 0.0000
0.5703 0.0703 0.9215
0.6488 0.5703 0.5000
0.8512 0.3512 0.9215
0.9297 0.8512 0.5000
0.2500 0.2500 0.0000
0.7500 0.7500 0.0000
0.2500 0.7500 0.5000
0.7500 0.2500 0.5000
```

Computed properties:
**Space-group type**: I4/mcm, No. 140
**Calculated formation energy**: 275 meV/atom
**Fermi-level density of states**: 1.693 states/eV/atom
**Raw total energy**: -0.329 Ry per atom

***

No. 5
The following is a PBE-GGA calculation of a geometry-optimized PmPr6Sm3Dy2 structure, from Alexandria via LeMat-Bulk.

POSCAR file:
```
PmPr6Sm3Dy2
1.0
3.1765 -5.5033 0.0000
3.1765 5.5033 0.0000
-2.1172 0.0000 11.8735
Pm Pr Sm Dy
1 6 3 2
Direct
0.0000 0.0000 0.0000
0.0834 0.4174 0.2486
0.2504 0.2504 0.7514
0.4174 0.0834 0.2486
0.5826 0.9166 0.7514
0.7496 0.7496 0.2486
0.9166 0.5826 0.7514
0.1668 0.8332 0.5000
0.5000 0.5000 0.5000
0.8332 0.1668 0.5000
0.3335 0.6665 0.0000
0.6665 0.3335 0.0000
```

Computed properties:
**Space-group type**: C2/m, No. 12
**Calculated formation energy**: 12 meV/atom
**Fermi-level density of states**: 1.327 states/eV/atom
**Raw total energy**: -0.347 Ry per atom

***

No. 6
The following is a PBE-GGA calculation of a geometry-optimized PmPr2Sm4Dy2 structure, from Alexandria via LeMat-Bulk.

POSCAR file:
```
PmPr2Sm4Dy2
1.0
6.1051 0.0000 0.0000
2.7971 6.1184 0.0000
2.8602 0.3516 8.2124
Pm Pr Sm Dy
1 2 4 2
Direct
0.0000 0.0000 0.0000
0.2714 0.6731 0.6573
0.7286 0.3269 0.3427
0.2629 0.4192 0.1154
0.3764 0.8720 0.2425
0.6236 0.1280 0.7575
0.7371 0.5808 0.8846
0.1784 0.2307 0.5562
0.8216 0.7693 0.4438
```

Computed properties:
**Space-group type**: P-1, No. 2
**Calculated formation energy**: 73 meV/atom
**Fermi-level density of states**: 1.491 states/eV/atom
**Raw total energy**: -0.341 Ry per atom

***

No. 7
The following is a PBE-GGA calculation of a geometry-optimized Pm6PrSmDy2 structure, from Alexandria via LeMat-Bulk.

POSCAR file:
```
Pm6PrSmDy2
1.0
4.6382 -7.6450 0.0000
4.6382 7.6450 0.0000
-1.3253 0.0000 9.6720
Pm Pr Sm Dy
12 2 2 4
Direct
0.0191 0.5668 0.1822
0.1127 0.7561 0.5559
0.2439 0.8873 0.9441
0.2947 0.5102 0.3799
0.4332 0.9809 0.3178
0.4898 0.7053 0.1201
0.5102 0.2947 0.8799
0.5668 0.0191 0.6822
0.7053 0.4898 0.6201
0.7561 0.1127 0.0559
0.8873 0.2439 0.4441
0.9809 0.4332 0.8178
0.4062 0.5938 0.7500
0.5938 0.4062 0.2500
0.0288 0.9712 0.2500
0.9712 0.0288 0.7500
0.1963 0.2942 0.0462
0.2942 0.1963 0.5462
0.7058 0.8037 0.4538
0.8037 0.7058 0.9538
```

Computed properties:
**Space-group type**: C2/c, No. 15
**Calculated formation energy**: 116 meV/atom
**Fermi-level density of states**: 1.478 states/eV/atom
**Raw total energy**: -0.338 Ry per atom

***

No. 8
The following is a PBE-GGA calculation of a geometry-optimized Pm3Pr6SmDy2 structure, from Alexandria via LeMat-Bulk.

POSCAR file:
```
Pm3Pr6SmDy2
1.0
3.1794 -5.5086 0.0000
3.1794 5.5086 0.0000
-2.1212 0.0000 11.8910
Pm Pr Sm Dy
3 6 1 2
Direct
0.0000 0.0000 0.0000
0.3333 0.6667 0.0000
0.6667 0.3333 0.0000
0.0830 0.4169 0.2522
0.2493 0.2493 0.7476
0.4169 0.0830 0.2522
0.5831 0.9170 0.7478
0.7507 0.7507 0.2524
0.9170 0.5831 0.7478
0.5000 0.5000 0.5000
0.1666 0.8334 0.5000
0.8334 0.1666 0.5000
```

Computed properties:
**Space-group type**: C2/m, No. 12
**Calculated formation energy**: 12 meV/atom
**Fermi-level density of states**: 1.365 states/eV/atom
**Raw total energy**: -0.347 Ry per atom

***

| no. | density (Mg/m³) |
| --- | --- |
| 1 | 7.8 |
| 2 | 7.0 |
| 3 | 7.7 |
| 4 | 6.8 |
| 5 | 7.1 |
| 6 | 7.3 |
| 7 | 7.2 |
| 8 | 7.0 |